Material: Si2BiAu
Method: DFT, PBE-GGA
State: optimized geometry

As for the space group: I-42d (122). The density of states at the Fermi level comes out at 1.35 states/eV/f.u. The magnetic moment comes out at 0.000 μB/cell. As for the crystal system: tetragonal. Its formation energy from raw total energies is 0.28 eV per atom.

a b c (Å): 5.9469 5.9469 7.3645
angles (deg): 66.19 66.19 90.00
Positions (direct):
Si  0.5749  0.1250  0.2500
Si  0.1751  0.6250  0.2500
Si  0.3750  0.4251  0.7500
Si  0.8750  0.8249  0.7500
Au  0.5000  0.5000  0.0000
Au  0.2500  0.7500  0.5000
Bi  0.0000  0.0000  0.0000
Bi  0.7500  0.2500  0.5000